Compound: ErB4Ru6
Source: the Alexandria database
Functional: PBE
Structure: relaxed

```
ErB4Ru6
1.0
5.725 -0.179 -0.263
-2.806 4.993 0.263
-2.806 -1.591 4.740
B Ru Er
4 6 1
direct
0.709 0.419 0.419 B
0.000 0.289 0.581 B
0.291 0.711 0.711 B
0.000 0.581 0.289 B
0.378 0.470 0.470 Ru
0.000 0.909 0.530 Ru
0.500 0.000 0.500 Ru
0.622 0.091 0.091 Ru
0.500 0.500 0.000 Ru
0.000 0.530 0.909 Ru
0.000 0.000 0.000 Er
```

M_tot = 0.0 μB per formula unit
Energy = -88.723 eV/cell
ρ = 10.373 g/cm3
DOS(E_F) = 9.80 states/eV per cell
Formation energy from the elements = -0.1632 eV/atom